# AlCdSn2As4

AlCdSn2As4 after structural relaxation (GGA-PBE, Alexandria).

* calculated formation energy: -1.259 eV per formula unit
* magnetic moment: 0.0 μB per cell
* mass density: 4.915 g cm⁻³

The structure in POSCAR format:
```
AlCdSn2As4
1.0
0.000 4.531 5.856
4.306 0.000 5.856
4.306 4.531 0.000
Al Cd Sn As
1 1 2 4
Cartesian
0.000 0.000 0.000
4.306 4.531 5.865
2.153 2.266 2.900
6.460 6.797 8.756
4.306 2.146 4.537
6.576 4.531 7.290
4.306 6.916 4.537
2.037 4.531 7.290
```